[1]
A plane-wave DFT calculation with PBE was carried out for a relaxed Hf6Sn2S crystal.

Summary:
- Calculated density: 11.5 Mg/m³
- Uncorrected energy: -8.452 eV/atom
- Magnetization: 0.00 μB per formula unit
- Formation energy (no corrections): -4.22 eV per formula unit

Lattice parameters (Å, degrees): 5.9293 7.0907 10.8944 90.00 122.18 90.00
Space group P2_1/c (No. 14)
Unique sites:
Hf (0.1006, 0.1988, 0.4640) [4 per cell]
Hf (0.3136, 0.6750, 0.4635) [4 per cell]
Hf (0.3539, 0.0156, 0.2327) [4 per cell]
Sn (0.1552, 0.1087, 0.7440) [4 per cell]
S (0.5000, 0.0000, 0.5000) [2 per cell]

---

[2]
A plane-wave DFT calculation with PBE was carried out for a relaxed K3PmDy2O6 crystal.

Summary:
- Calculated density: 5.6 Mg/m³
- Uncorrected energy: -6.640 eV/atom
- Magnetization: 0.00 μB per formula unit
- Formation energy (no corrections): -32.68 eV per formula unit

Lattice parameters (Å, degrees): 6.1095 10.5823 6.5990 90.00 107.95 90.00
Space group C2/m (No. 12)
Unique sites:
K (0.0000, 0.0000, 0.0000) [2 per cell]
K (0.0000, 0.3321, 0.0000) [4 per cell]
Pm (0.0000, 0.5000, 0.5000) [2 per cell]
Dy (0.0000, 0.1667, 0.5000) [4 per cell]
O (0.2208, 0.0000, 0.6868) [4 per cell]
O (0.2328, 0.3293, 0.6865) [8 per cell]